A relaxed structure of KTiAl, computed with PBE.

Structure (CIF):
```
data_KTiAl
_chemical_formula_sum 'K2 Ti2 Al2'
_cell_length_a 4.151
_cell_length_b 3.557
_cell_length_c 12.590
_cell_angle_alpha 82.33
_cell_angle_beta 90.69
_cell_angle_gamma 90.00
_space_group_name_H-M_alt 'P 1'
_space_group_IT_number 1
loop_
_space_group_symop_operation_xyz
'x,y,z'
loop_
_atom_site_label
_atom_site_type_symbol
_atom_site_fract_x
_atom_site_fract_y
_atom_site_fract_z
_atom_site_occupancy
K1 K 0.572 0.370 0.451 1
K2 K 0.083 0.688 0.774 1
Al1 Al 0.558 0.571 0.031 1
Al2 Al 0.564 0.992 0.197 1
Ti1 Ti 0.064 0.491 0.200 1
Ti2 Ti 0.057 0.069 0.035 1
```

Calculated values
Crystal system: triclinic
Formation enthalpy at 0 K in eV per atom: 0.088
Symmetry: P1
Total magnetic moment in Bohr magnetons per cell: 0.000
Energy relative to the lowest polymorph listed for this composition in eV per atom: 0.016

---

A relaxed structure of LiPm2Cu2O6, computed with PBE.

Structure (CIF):
```
data_LiPm2Cu2O6
_chemical_formula_sum 'Li1 Pm2 Cu2 O6'
_cell_length_a 5.628
_cell_length_b 5.628
_cell_length_c 6.217
_cell_angle_alpha 63.08
_cell_angle_beta 63.08
_cell_angle_gamma 60.00
_space_group_name_H-M_alt 'P 1'
_space_group_IT_number 1
loop_
_space_group_symop_operation_xyz
'x,y,z'
loop_
_atom_site_label
_atom_site_type_symbol
_atom_site_fract_x
_atom_site_fract_y
_atom_site_fract_z
_atom_site_occupancy
Li1 Li 0.000 0.000 0.000 1
Pm1 Pm 0.792 0.792 0.623 1
Pm2 Pm 0.208 0.208 0.377 1
Cu1 Cu 0.418 0.418 0.746 1
Cu2 Cu 0.582 0.582 0.254 1
O1 O 0.758 0.758 0.281 1
O2 O 0.204 0.758 0.281 1
O3 O 0.758 0.204 0.281 1
O4 O 0.242 0.796 0.719 1
O5 O 0.796 0.242 0.719 1
O6 O 0.242 0.242 0.719 1
```

Calculated values
Formation energy without anion corrections in meV per atom: -1628
Crystal system: trigonal
Symmetry: R-3m
Total magnetic moment in Bohr magnetons per cell: 1.936